The following is a DFT calculation (PBE-GGA) of a relaxed structure of NaSr12Ga6.

Computed properties:
For the density of states at the Fermi level, the calculation gives 22.8 states/eV/cell. Its formation energy is -0.21 eV per atom.

abc: 9.995 9.995 9.995
angles: 109.47 109.47 109.47
Sites, in units of the cell vectors:
Ga: 0.391 0.500 0.891
Ga: 0.500 0.891 0.391
Ga: 0.109 0.609 0.500
Ga: 0.609 0.500 0.109
Ga: 0.500 0.109 0.609
Ga: 0.891 0.391 0.500
Sr: 0.809 0.692 0.501
Sr: 0.191 0.692 0.882
Sr: 0.692 0.501 0.809
Sr: 0.499 0.191 0.308
Sr: 0.809 0.308 0.118
Sr: 0.118 0.809 0.308
Sr: 0.692 0.882 0.191
Sr: 0.882 0.191 0.692
Sr: 0.501 0.809 0.692
Sr: 0.308 0.118 0.809
Sr: 0.308 0.499 0.191
Sr: 0.191 0.308 0.499
Na: 0.000 0.000 0.000

***

The following is a DFT calculation (PBE-GGA) of a relaxed structure of NaSr2Ga2.

Computed properties:
The relative energy among the computed polymorphs comes out at 17.1 kJ per mole of atoms. For the density of states at the Fermi level, the calculation gives 4.5 states/eV/cell. Its formation energy is -0.13 eV per atom.

abc: 9.237 9.237 3.790
angles: 90.00 90.00 90.00
Sites, in units of the cell vectors:
Na: 0.500 0.500 0.000
Na: 0.000 0.000 0.000
Sr: 0.347 0.847 0.000
Sr: 0.653 0.153 0.000
Sr: 0.153 0.347 0.000
Sr: 0.847 0.653 0.000
Ga: 0.641 0.859 0.500
Ga: 0.859 0.359 0.500
Ga: 0.141 0.641 0.500
Ga: 0.359 0.141 0.500